Record 1
## La2NiOs (PBE-GGA)

Data for an optimized crystal structure of La2NiOs.

Computed properties:
The crystal system is orthorhombic.

The structure in POSCAR format:
```
La2NiOs
1.0
3.506 0.000 0.000
0.000 3.535 0.000
0.000 0.000 7.281
La Ni Os
2 1 1
direct
0.000 0.000 0.247
0.000 0.000 0.753
0.500 0.500 0.500
0.500 0.500 0.000
```


Record 2
## La2NiOs (PBE-GGA)

Data for an optimized crystal structure of La2NiOs.

Computed properties:
The crystal system is orthorhombic.

The structure in POSCAR format:
```
La2NiOs
1.0
-1.907 2.158 5.705
1.907 -2.158 5.705
1.907 2.158 -5.705
La Ni Os
2 1 1
direct
0.000 0.000 0.000
0.716 0.216 0.500
0.291 0.791 0.500
0.421 0.421 0.000
```


Record 3
## La2NiOs (PBE-GGA)

Data for an optimized crystal structure of La2NiOs.

Computed properties:
The crystal system is cubic.

The structure in POSCAR format:
```
La2NiOs
1.0
0.000 3.440 3.440
3.440 0.000 3.440
3.440 3.440 0.000
La Ni Os
2 1 1
direct
0.000 0.000 0.000
0.250 0.250 0.250
0.750 0.750 0.750
0.500 0.500 0.500
```


Record 4
## LaNiOs (PBE-GGA)

Data for an optimized crystal structure of LaNiOs.

Computed properties:
As for the relative energy among the computed polymorphs: 0.711 eV/atom. The crystal system is cubic.

The structure in POSCAR format:
```
LaNiOs
1.0
0.000 3.155 3.155
3.155 0.000 3.155
3.155 3.155 0.000
La Ni Os
1 1 1
direct
0.000 0.000 0.000
0.750 0.750 0.750
0.500 0.500 0.500
```


Record 5
## La6NiOs (PBE-GGA)

Data for an optimized crystal structure of La6NiOs.

Computed properties:
The crystal system is trigonal.

The structure in POSCAR format:
```
La6NiOs
1.0
6.598 3.809 2.201
-6.598 3.809 2.201
0.000 -7.619 2.201
La Ni Os
6 1 1
direct
0.047 0.343 0.343
0.343 0.047 0.343
0.343 0.343 0.047
0.657 0.657 0.953
0.657 0.953 0.657
0.953 0.657 0.657
0.500 0.500 0.500
0.000 0.000 0.000
```


Record 6
## La4NiOs (PBE-GGA)

Data for an optimized crystal structure of La4NiOs.

Computed properties:
As for the relative energy among the computed polymorphs: 0.000 eV/atom. The crystal system is monoclinic.

The structure in POSCAR format:
```
La4NiOs
1.0
6.735 -4.299 0.000
6.735 4.299 0.000
-6.518 0.000 6.734
La Ni Os
8 2 2
direct
0.031 0.533 0.229
0.057 0.057 0.283
0.443 0.443 0.716
0.467 0.969 0.771
0.533 0.031 0.229
0.557 0.557 0.284
0.943 0.943 0.717
0.969 0.467 0.771
0.250 0.250 0.000
0.750 0.750 0.000
0.000 0.500 0.500
0.500 0.000 0.500
```


Record 7
## La3NiOs (PBE-GGA)

Data for an optimized crystal structure of La3NiOs.

Computed properties:
As for the relative energy among the computed polymorphs: 0.000 eV/atom. The crystal system is orthorhombic.

The structure in POSCAR format:
```
La3NiOs
1.0
4.062 0.000 0.000
0.000 9.872 0.000
0.000 0.000 6.618
La Ni Os
6 2 2
direct
0.250 0.060 0.235
0.250 0.250 0.745
0.250 0.440 0.235
0.750 0.560 0.765
0.750 0.750 0.255
0.750 0.940 0.765
0.250 0.750 0.560
0.750 0.250 0.440
0.250 0.750 0.940
0.750 0.250 0.060
```


Record 8
## LaNiOs (PBE-GGA)

Data for an optimized crystal structure of LaNiOs.

Computed properties:
As for the relative energy among the computed polymorphs: 0.107 eV/atom. The crystal system is monoclinic.

The structure in POSCAR format:
```
LaNiOs
1.0
5.488 -2.088 0.000
5.488 2.088 0.000
-4.345 0.000 5.523
La Ni Os
2 2 2
direct
0.000 0.000 0.000
0.137 0.137 0.599
0.456 0.456 0.662
0.813 0.813 0.444
0.332 0.332 0.231
0.731 0.731 0.008
```


E_tot values, unit eV/atom, following the record order: -6.8041 -6.7431 -6.5146 -6.8275 -5.6691 -6.3024 -6.5159 -7.4315.
Energy of formation from the pure elements values, unit meV/atom, following the record order: -88 -27 202 485 153 -182 -157 -119.
DOS(E_F) values, unit states/eV per cell, following the record order: 1.1 2.1 5.1 5.0 10.5 10.3 11.6 3.5.